[1]
Pm7Dy2Y | PBE-GGA | optimized geometry

```
10
Lattice="4.393 -8.345 0.000 4.393 8.345 0.000 0.000 0.000 5.601" Properties=species:S:1:pos:R:3 pbc="T T T"
Pm 0.000 0.000 0.000
Pm 2.824 1.875 0.000
Pm 4.393 3.567 2.801
Pm 2.824 -1.875 0.000
Pm 5.963 1.875 0.000
Pm 4.393 -3.567 2.801
Pm 5.963 -1.875 0.000
Dy 4.393 4.919 0.000
Dy 4.393 -4.919 0.000
Y 4.393 0.000 2.801
```

Results
Total magnetization: 0.0 μB/f.u.
Energy of formation from the pure elements: 0.647 eV per atom
Final energy: -4.245 eV per atom
Symmetry: Cmmm

[2]
BiAu2Cl6 | PBE-GGA | optimized geometry

```
18
Lattice="6.136 -6.705 0.000 6.136 6.705 0.000 -1.920 0.000 7.658" Properties=species:S:1:pos:R:3 pbc="T T T"
Bi 4.696 5.442 5.743
Bi 5.656 -5.442 1.914
Au 1.842 0.532 6.061
Au 2.802 -0.532 2.232
Au 7.549 0.532 5.426
Au 8.509 -0.532 1.597
Cl 0.134 1.402 4.673
Cl 2.896 3.833 6.330
Cl 1.095 -1.402 0.844
Cl 6.495 3.833 5.157
Cl 3.712 0.139 4.230
Cl 4.672 -0.139 0.401
Cl 5.679 0.139 7.257
Cl 6.640 -0.139 3.428
Cl 3.857 -3.833 2.501
Cl 9.257 1.402 6.814
Cl 7.455 -3.833 1.328
Cl 10.217 -1.402 2.985
```

Results
Total magnetization: 0.0 μB/f.u.
Polymorph energy (0 for the lowest one): 34 meV/atom
Final energy: -2.836 eV per atom
Symmetry: C2/c
E_form (uncorrected): -0.445 eV/atom

[3]
LaHg2Pt | PBE-GGA | optimized geometry

```
4
Lattice="2.177 1.257 6.800 -2.177 1.257 6.800 0.000 -2.514 6.800" Properties=species:S:1:pos:R:3 pbc="T T T"
La 0.000 0.000 0.000
Hg 0.000 0.000 4.554
Hg 0.000 0.000 9.618
Pt 0.000 0.000 15.037
```

Results
Total magnetization: 0.0 μB/f.u.
Energy of formation from the pure elements: -0.499 eV per atom
Final energy: -3.392 eV per atom
Symmetry: R3m

[4]
SrPuAlS4 | PBE-GGA | optimized geometry

```
14
Lattice="6.582 0.000 0.000 0.000 6.606 0.000 -2.401 0.000 7.752" Properties=species:S:1:pos:R:3 pbc="T T T"
Sr 0.561 1.651 3.393
Sr 3.619 4.954 4.359
Pu -0.429 1.651 7.337
Pu 4.610 4.954 0.416
Al 1.276 4.954 1.414
Al 2.905 1.651 6.339
S -1.793 4.954 7.045
S -0.450 4.954 2.820
S 2.720 0.030 1.812
S 2.720 3.273 1.812
S 1.461 3.333 5.940
S 1.461 6.576 5.940
S 4.631 1.651 4.933
S 5.974 1.651 0.708
```

Results
Total magnetization: 5.0 μB/f.u.
Final energy: -6.735 eV per atom
Symmetry: P2_1/m
E_form (uncorrected): -1.554 eV/atom

[5]
Hg5Bi2Pb5 | PBE-GGA | optimized geometry

```
12
Lattice="5.878 0.000 0.000 0.150 7.009 0.000 2.113 2.058 8.598" Properties=species:S:1:pos:R:3 pbc="T T T"
Hg 0.000 0.000 0.000
Hg 4.203 2.003 5.880
Hg 2.999 5.248 0.065
Hg 5.142 3.818 8.533
Hg 3.938 7.063 2.719
Bi 0.992 1.823 2.794
Bi 7.149 7.244 5.805
Pb 0.075 3.505 0.000
Pb 0.925 5.493 2.867
Pb 4.247 5.547 5.697
Pb 3.894 3.520 2.901
Pb 7.216 3.574 5.732
```

Results
Total magnetization: 0.0 μB/f.u.
Energy of formation from the pure elements: 0.034 eV per atom
Final energy: -2.284 eV per atom
Symmetry: P-1

[6]
ZrTe | PBE-GGA | optimized geometry

```
4
Lattice="0.000 3.622 3.622 3.622 0.000 3.622 3.622 3.622 0.000" Properties=species:S:1:pos:R:3 pbc="T T T"
Zr 0.906 0.906 0.906
Zr 6.339 6.339 6.339
Te 2.717 2.717 2.717
Te 4.528 4.528 4.528
```

Results
Total magnetization: 0.0 μB/f.u.
Final energy: -5.853 eV per atom
Symmetry: Fd-3m
E_form (uncorrected): -0.008 eV/atom

> Look up the total magnetization of the third one.

0.0 μB/f.u.